[1]
SiAgSe2N: optimized geometry, PBE.

Energy above the most stable polymorph in this dataset: 1.031 eV per atom
Density of states at the Fermi level: 4.553 states/eV per cell
Size of the total moment: 1.9 μB/f.u.
ΔE_f (raw): 1283 meV per atom

CIF file:
```
data_SiAgSe2N
_chemical_formula_sum 'Si1 Ag1 Se2 N1'
_cell_length_a 5.201
_cell_length_b 5.201
_cell_length_c 3.961
_cell_angle_alpha 90.00
_cell_angle_beta 90.00
_cell_angle_gamma 90.00
_space_group_name_H-M_alt 'P 4/m m m'
_space_group_IT_number 123
_space_group_name_Hall '-P 4 2'
loop_
_atom_site_label
_atom_site_type_symbol
_atom_site_fract_x
_atom_site_fract_y
_atom_site_fract_z
Si1 Si 0.000 0.000 0.000
Ag1 Ag 0.500 0.500 0.500
Se1 Se 0.000 0.500 0.500
N1 N 0.500 0.500 0.000
```

***

[2]
SiAgSe2N: optimized geometry, PBE.

Energy above the most stable polymorph in this dataset: 0.000 eV per atom
Density of states at the Fermi level: 3.956 states/eV per cell
Size of the total moment: 0.0 μB/f.u.
ΔE_f (raw): 253 meV per atom

CIF file:
```
data_SiAgSe2N
_chemical_formula_sum 'Si1 Ag1 Se2 N1'
_cell_length_a 5.300
_cell_length_b 5.300
_cell_length_c 3.218
_cell_angle_alpha 90.00
_cell_angle_beta 90.00
_cell_angle_gamma 90.00
_space_group_name_H-M_alt 'P 4/m m m'
_space_group_IT_number 123
_space_group_name_Hall '-P 4 2'
loop_
_atom_site_label
_atom_site_type_symbol
_atom_site_fract_x
_atom_site_fract_y
_atom_site_fract_z
Si1 Si 0.000 0.000 0.000
Ag1 Ag 0.500 0.500 0.500
Se1 Se 0.000 0.500 0.000
N1 N 0.000 0.000 0.500
```

***

[3]
AgSnSe2N: optimized geometry, PBE.

Energy above the most stable polymorph in this dataset: 0.025 eV per atom
Density of states at the Fermi level: 4.738 states/eV per cell
Size of the total moment: 1.9 μB/f.u.
ΔE_f (raw): 840 meV per atom

CIF file:
```
data_AgSnSe2N
_chemical_formula_sum 'Ag1 Sn1 Se2 N1'
_cell_length_a 5.292
_cell_length_b 5.292
_cell_length_c 4.036
_cell_angle_alpha 90.00
_cell_angle_beta 90.00
_cell_angle_gamma 90.00
_space_group_name_H-M_alt 'P 4/m m m'
_space_group_IT_number 123
_space_group_name_Hall '-P 4 2'
loop_
_atom_site_label
_atom_site_type_symbol
_atom_site_fract_x
_atom_site_fract_y
_atom_site_fract_z
Ag1 Ag 0.000 0.000 0.000
Sn1 Sn 0.500 0.500 0.500
Se1 Se 0.000 0.500 0.000
N1 N 0.000 0.000 0.500
```

***

[4]
AgSnSe2N: optimized geometry, PBE.

Energy above the most stable polymorph in this dataset: 0.000 eV per atom
Density of states at the Fermi level: 4.235 states/eV per cell
Size of the total moment: 1.9 μB/f.u.
ΔE_f (raw): 815 meV per atom

CIF file:
```
data_AgSnSe2N
_chemical_formula_sum 'Ag1 Sn1 Se2 N1'
_cell_length_a 5.402
_cell_length_b 5.402
_cell_length_c 4.064
_cell_angle_alpha 90.00
_cell_angle_beta 90.00
_cell_angle_gamma 90.00
_space_group_name_H-M_alt 'P 4/m m m'
_space_group_IT_number 123
_space_group_name_Hall '-P 4 2'
loop_
_atom_site_label
_atom_site_type_symbol
_atom_site_fract_x
_atom_site_fract_y
_atom_site_fract_z
Ag1 Ag 0.000 0.000 0.000
Sn1 Sn 0.500 0.500 0.500
Se1 Se 0.000 0.500 0.500
N1 N 0.500 0.500 0.000
```

***

[5]
SrAgSeN2: optimized geometry, PBE.

Energy above the most stable polymorph in this dataset: 0.000 eV per atom
Density of states at the Fermi level: 3.165 states/eV per cell
Size of the total moment: 3.2 μB/f.u.
ΔE_f (raw): 814 meV per atom

CIF file:
```
data_SrAgSeN2
_chemical_formula_sum 'Sr1 Ag1 Se1 N2'
_cell_length_a 4.332
_cell_length_b 4.332
_cell_length_c 5.345
_cell_angle_alpha 90.00
_cell_angle_beta 90.00
_cell_angle_gamma 90.00
_space_group_name_H-M_alt 'P 4/m m m'
_space_group_IT_number 123
_space_group_name_Hall '-P 4 2'
loop_
_atom_site_label
_atom_site_type_symbol
_atom_site_fract_x
_atom_site_fract_y
_atom_site_fract_z
Sr1 Sr 0.000 0.000 0.000
Ag1 Ag 0.500 0.500 0.500
Se1 Se 0.500 0.500 0.000
N1 N 0.000 0.500 0.500
```

***

[6]
SrAgSeN2: optimized geometry, PBE.

Energy above the most stable polymorph in this dataset: 0.587 eV per atom
Density of states at the Fermi level: 2.269 states/eV per cell
Size of the total moment: 4.9 μB/f.u.
ΔE_f (raw): 1401 meV per atom

CIF file:
```
data_SrAgSeN2
_chemical_formula_sum 'Sr1 Ag1 Se1 N2'
_cell_length_a 4.821
_cell_length_b 4.821
_cell_length_c 6.202
_cell_angle_alpha 90.00
_cell_angle_beta 90.00
_cell_angle_gamma 90.00
_space_group_name_H-M_alt 'P 4/m m m'
_space_group_IT_number 123
_space_group_name_Hall '-P 4 2'
loop_
_atom_site_label
_atom_site_type_symbol
_atom_site_fract_x
_atom_site_fract_y
_atom_site_fract_z
Sr1 Sr 0.000 0.000 0.000
Ag1 Ag 0.500 0.500 0.500
Se1 Se 0.000 0.000 0.500
N1 N 0.000 0.500 0.000
```

***

[7]
TcAgSe2N: optimized geometry, PBE.

Energy above the most stable polymorph in this dataset: 1.221 eV per atom
Density of states at the Fermi level: 3.346 states/eV per cell
Size of the total moment: 2.5 μB/f.u.
ΔE_f (raw): 1560 meV per atom

CIF file:
```
data_TcAgSe2N
_chemical_formula_sum 'Tc1 Ag1 Se2 N1'
_cell_length_a 5.175
_cell_length_b 5.175
_cell_length_c 3.955
_cell_angle_alpha 90.00
_cell_angle_beta 90.00
_cell_angle_gamma 90.00
_space_group_name_H-M_alt 'P 4/m m m'
_space_group_IT_number 123
_space_group_name_Hall '-P 4 2'
loop_
_atom_site_label
_atom_site_type_symbol
_atom_site_fract_x
_atom_site_fract_y
_atom_site_fract_z
Tc1 Tc 0.000 0.000 0.000
Ag1 Ag 0.500 0.500 0.500
Se1 Se 0.000 0.500 0.500
N1 N 0.500 0.500 0.000
```

***

[8]
TcAgSe2N: optimized geometry, PBE.

Energy above the most stable polymorph in this dataset: 0.000 eV per atom
Density of states at the Fermi level: 3.529 states/eV per cell
Size of the total moment: 0.0 μB/f.u.
ΔE_f (raw): 339 meV per atom

CIF file:
```
data_TcAgSe2N
_chemical_formula_sum 'Tc1 Ag1 Se2 N1'
_cell_length_a 5.083
_cell_length_b 5.083
_cell_length_c 3.706
_cell_angle_alpha 90.00
_cell_angle_beta 90.00
_cell_angle_gamma 90.00
_space_group_name_H-M_alt 'P 4/m m m'
_space_group_IT_number 123
_space_group_name_Hall '-P 4 2'
loop_
_atom_site_label
_atom_site_type_symbol
_atom_site_fract_x
_atom_site_fract_y
_atom_site_fract_z
Tc1 Tc 0.000 0.000 0.000
Ag1 Ag 0.500 0.500 0.500
Se1 Se 0.000 0.500 0.000
N1 N 0.000 0.000 0.500
```